First-principles (PBE) data for an optimized crystal structure of TaNb2Sn, as listed in Alexandria via LeMat-Bulk.

POSCAR file:
```
TaNb2Sn
1.0
1.6107 0.9299 8.8443
-1.6107 0.9299 8.8443
0.0000 -1.8598 8.8443
Ta Nb Sn
1 2 1
Direct
0.0000 0.0000 0.0000 Ta
0.2549 0.2549 0.2549 Nb
0.7451 0.7451 0.7451 Nb
0.5000 0.5000 0.5000 Sn
```

Output
- calculated total energy (eV per atom) = -8.82
- V (Å³ per cell) = 79.48
- formation energy from the elements (eV/atom) = 0.176